1.
{
  "formula": "Li2AgO",
  "functional": "PBE",
  "state": "optimized geometry",
  "dft_energy_ev_per_atom": -4.020,
  "e_form_raw_ev_per_atom": -1.111,
  "cell": [[-2.700, 0.532, -1.216], [-0.437, -0.442, -2.944], [-2.836, -6.281, -0.172]],
  "species": ["O", "Ag", "Li", "Li"],
  "fractional_positions": [[0.000, 0.000, 0.000], [0.500, 0.500, 0.500], [0.705, 0.705, 0.886], [0.295, 0.295, 0.114]]
}

=====

2.
{
  "formula": "Li2Ag2O",
  "functional": "PBE",
  "state": "optimized geometry",
  "dft_energy_ev_per_atom": -2.953,
  "e_above_lowest_polymorph_mev_per_atom": 602,
  "e_form_raw_ev_per_atom": -0.055,
  "cell": [[-1.996, -1.917, 2.314], [2.446, 0.575, 2.588], [-3.143, 5.125, 4.346]],
  "species": ["O", "Ag", "Ag", "Li", "Li"],
  "fractional_positions": [[0.000, 0.000, 0.000], [0.750, 0.250, 0.500], [0.250, 0.750, 0.500], [0.419, 0.419, 0.162], [0.581, 0.581, 0.838]]
}

=====

3.
{
  "formula": "Li3AgO",
  "functional": "PBE",
  "state": "optimized geometry",
  "dft_energy_ev_per_atom": -2.513,
  "e_above_lowest_polymorph_mev_per_atom": 1217,
  "e_form_raw_ev_per_atom": 0.197,
  "cell": [[-2.204, -4.011, 0.863], [3.119, -1.001, 3.311], [-2.666, 2.145, 3.160]],
  "species": ["O", "Ag", "Li", "Li", "Li"],
  "fractional_positions": [[0.500, 0.500, 0.500], [0.000, 0.000, 0.000], [0.000, 0.500, 0.000], [0.000, 0.000, 0.500], [0.500, 0.000, 0.000]]
}

=====

4.
{
  "formula": "Li4AgO3",
  "functional": "PBE",
  "state": "optimized geometry",
  "dft_energy_ev_per_atom": -4.513,
  "e_form_raw_ev_per_atom": -1.341,
  "cell": [[-3.012, 3.794, -0.769], [-2.628, -4.985, 1.340], [1.699, 2.593, 6.140]],
  "species": ["O", "O", "O", "O", "O", "O", "Ag", "Ag", "Li", "Li", "Li", "Li", "Li", "Li", "Li", "Li"],
  "fractional_positions": [[0.672, 0.359, 0.880], [0.686, 0.359, 0.380], [0.289, 0.574, 0.592], [0.284, 0.574, 0.092], [0.968, 0.892, 0.790], [0.924, 0.892, 0.290], [0.549, 0.963, 0.749], [0.415, 0.963, 0.249], [0.253, 0.237, 0.943], [0.983, 0.237, 0.443], [0.570, 0.442, 0.644], [0.872, 0.442, 0.144], [0.082, 0.579, 0.839], [0.497, 0.579, 0.339], [0.010, 0.734, 0.514], [0.725, 0.734, 0.014]]
}

=====

5.
{
  "formula": "Li3AgO2",
  "functional": "PBE",
  "state": "optimized geometry",
  "dft_energy_ev_per_atom": -4.432,
  "e_form_raw_ev_per_atom": -1.347,
  "cell": [[-1.050, -0.387, 4.861], [3.561, -3.992, 0.451], [2.262, 5.443, -1.637]],
  "species": ["Li", "Li", "Li", "Li", "Li", "Li", "Ag", "Ag", "O", "O", "O", "O"],
  "fractional_positions": [[0.500, 0.250, 0.000], [0.500, 0.750, 0.000], [0.752, 0.002, 0.505], [0.248, 0.498, 0.495], [0.248, 0.998, 0.495], [0.752, 0.502, 0.505], [0.000, 0.500, 0.000], [0.000, 0.000, 0.000], [0.546, 0.356, 0.711], [0.834, 0.144, 0.289], [0.166, 0.856, 0.711], [0.454, 0.644, 0.289]]
}

=====

6.
{
  "formula": "Li2AgO2",
  "functional": "PBE",
  "state": "optimized geometry",
  "dft_energy_ev_per_atom": -4.412,
  "e_above_lowest_polymorph_mev_per_atom": 0,
  "e_form_raw_ev_per_atom": -1.093,
  "cell": [[2.821, 0.000, -0.740], [-0.194, 2.814, -0.740], [0.258, 0.276, 6.726]],
  "species": ["Li", "Li", "Ag", "O", "O"],
  "fractional_positions": [[0.683, 0.683, 0.366], [0.317, 0.317, 0.634], [0.000, 0.000, 0.000], [0.842, 0.842, 0.685], [0.158, 0.158, 0.315]]
}

=====

7.
{
  "formula": "LiAg3O4",
  "functional": "PBE",
  "state": "optimized geometry",
  "dft_energy_ev_per_atom": -4.105,
  "e_form_raw_ev_per_atom": -0.317,
  "cell": [[-2.950, -0.849, 0.253], [0.176, -2.297, -5.655], [1.432, -3.557, 4.752]],
  "species": ["Li", "Ag", "Ag", "Ag", "O", "O", "O", "O"],
  "fractional_positions": [[0.500, 0.000, 0.000], [0.000, 0.000, 0.500], [0.500, 0.500, 0.500], [0.000, 0.500, 0.000], [0.000, 0.725, 0.725], [0.500, 0.202, 0.798], [0.000, 0.275, 0.275], [0.500, 0.798, 0.202]]
}

=====

8.
{
  "formula": "LiAgO",
  "functional": "PBE",
  "state": "optimized geometry",
  "dft_energy_ev_per_atom": -4.136,
  "e_form_raw_ev_per_atom": -0.895,
  "cell": [[3.194, 0.000, 0.000], [0.000, 3.591, 0.000], [0.000, 0.000, 6.689]],
  "species": ["Li", "Li", "Ag", "Ag", "O", "O"],
  "fractional_positions": [[0.500, 0.500, 0.047], [0.000, 0.000, 0.953], [0.500, 0.500, 0.624], [0.000, 0.000, 0.376], [0.000, 0.500, 0.857], [0.500, 0.000, 0.143]]
}

=====

9.
{
  "formula": "Li3AgO",
  "functional": "PBE",
  "state": "optimized geometry",
  "dft_energy_ev_per_atom": -3.730,
  "e_above_lowest_polymorph_mev_per_atom": 0,
  "e_form_raw_ev_per_atom": -1.020,
  "cell": [[-2.036, 2.337, 2.514], [-2.606, 0.849, -2.900], [-2.233, -3.121, 1.093]],
  "species": ["O", "Ag", "Li", "Li", "Li"],
  "fractional_positions": [[0.000, 0.000, 0.000], [0.500, 0.500, 0.500], [0.000, 0.500, 0.000], [0.000, 0.000, 0.500], [0.500, 0.000, 0.000]]
}

=====

10.
{
  "formula": "LiAgO",
  "functional": "PBE",
  "state": "optimized geometry",
  "dft_energy_ev_per_atom": -3.997,
  "e_form_raw_ev_per_atom": -0.756,
  "cell": [[-1.833, -0.269, 3.367], [1.255, -2.967, 0.446], [1.597, 2.620, 1.078]],
  "species": ["O", "Ag", "Li"],
  "fractional_positions": [[0.834, 0.000, 0.000], [0.333, 0.333, 0.667], [0.833, 0.667, 0.333]]
}

=====

11.
{
  "formula": "Li2Ag2O3",
  "functional": "PBE",
  "state": "optimized geometry",
  "dft_energy_ev_per_atom": -4.184,
  "e_form_raw_ev_per_atom": -0.698,
  "cell": [[-4.538, -4.372, -1.143], [-0.461, -1.148, 6.223], [-5.289, 0.869, -0.231]],
  "species": ["Li", "Li", "Li", "Li", "Ag", "Ag", "Ag", "Ag", "O", "O", "O", "O", "O", "O"],
  "fractional_positions": [[0.480, 0.356, 0.705], [0.020, 0.856, 0.295], [0.980, 0.144, 0.705], [0.520, 0.644, 0.295], [0.062, 0.706, 0.806], [0.562, 0.794, 0.806], [0.438, 0.206, 0.194], [0.938, 0.294, 0.194], [0.500, 0.500, 0.000], [0.000, 0.000, 0.000], [0.695, 0.116, 0.670], [0.805, 0.616, 0.330], [0.195, 0.384, 0.670], [0.305, 0.884, 0.330]]
}

=====

12.
{
  "formula": "LiAgOs2O8",
  "functional": "PBE",
  "state": "optimized geometry",
  "dft_energy_ev_per_atom": -6.533,
  "e_form_raw_ev_per_atom": -0.959,
  "cell": [[-4.002, 3.642, -0.574], [-3.301, -1.082, -4.188], [-4.059, -3.858, 4.256]],
  "species": ["Li", "Ag", "Os", "Os", "O", "O", "O", "O", "O", "O", "O", "O"],
  "fractional_positions": [[0.000, 0.000, 0.000], [0.000, 0.000, 0.500], [0.648, 0.648, 0.237], [0.352, 0.352, 0.763], [0.708, 0.219, 0.772], [0.777, 0.777, 0.053], [0.745, 0.745, 0.456], [0.255, 0.255, 0.544], [0.223, 0.223, 0.947], [0.219, 0.708, 0.772], [0.781, 0.292, 0.228], [0.292, 0.781, 0.228]]
}

=====

13.
{
  "formula": "Li2AgOsO6",
  "functional": "PBE",
  "state": "optimized geometry",
  "dft_energy_ev_per_atom": -5.834,
  "e_form_raw_ev_per_atom": -1.068,
  "cell": [[4.790, 0.000, -0.286], [0.000, 5.401, 0.000], [-2.181, -2.701, 4.735]],
  "species": ["Li", "Li", "Ag", "Os", "O", "O", "O", "O", "O", "O"],
  "fractional_positions": [[0.153, 0.253, 0.506], [0.847, 0.747, 0.494], [0.500, 0.000, 0.000], [0.000, 0.500, 0.000], [0.390, 0.656, 0.313], [0.126, 0.158, 0.809], [0.874, 0.349, 0.191], [0.126, 0.651, 0.809], [0.874, 0.842, 0.191], [0.610, 0.344, 0.687]]
}

=====

14.
{
  "formula": "LiAgP2O",
  "functional": "PBE",
  "state": "optimized geometry",
  "dft_energy_ev_per_atom": -3.603,
  "e_above_lowest_polymorph_mev_per_atom": 0,
  "e_form_raw_ev_per_atom": 0.505,
  "cell": [[-3.627, -2.896, -1.258], [3.051, -2.720, -2.533], [0.544, -1.810, 2.598]],
  "species": ["P", "P", "O", "Ag", "Li"],
  "fractional_positions": [[0.000, 0.500, 0.000], [0.500, 0.000, 0.000], [0.000, 0.000, 0.500], [0.500, 0.500, 0.500], [0.000, 0.000, 0.000]]
}

=====

15.
{
  "formula": "LiAg4P4O12",
  "functional": "PBE",
  "state": "optimized geometry",
  "dft_energy_ev_per_atom": -6.044,
  "e_above_lowest_polymorph_mev_per_atom": 0,
  "e_form_raw_ev_per_atom": -1.546,
  "cell": [[-2.200, 2.974, 2.087], [-5.771, -0.360, -1.783], [-3.674, -8.671, 9.823]],
  "species": ["Li", "Ag", "Ag", "Ag", "Ag", "P", "P", "P", "P", "O", "O", "O", "O", "O", "O", "O", "O", "O", "O", "O", "O"],
  "fractional_positions": [[0.281, 0.473, 0.313], [0.146, 0.672, 0.032], [0.545, 0.296, 0.547], [0.908, 0.613, 0.551], [0.965, 0.295, 0.940], [0.300, 0.168, 0.160], [0.820, 0.017, 0.300], [0.212, 0.993, 0.693], [0.771, 0.818, 0.827], [0.216, 0.072, 0.070], [0.347, 0.407, 0.155], [0.624, 0.975, 0.205], [0.025, 0.185, 0.247], [0.046, 0.784, 0.333], [0.579, 0.174, 0.367], [0.424, 0.897, 0.605], [0.949, 0.224, 0.682], [0.045, 0.794, 0.739], [0.443, 0.009, 0.784], [0.703, 0.588, 0.845], [0.871, 0.922, 0.914]]
}

=====

16.
{
  "formula": "LiAgPO2",
  "functional": "PBE",
  "state": "optimized geometry",
  "dft_energy_ev_per_atom": -3.549,
  "e_above_lowest_polymorph_mev_per_atom": 109,
  "e_form_raw_ev_per_atom": 0.469,
  "cell": [[-2.660, -3.010, -0.931], [0.957, 0.389, -3.992], [3.553, -3.303, 0.530]],
  "species": ["P", "O", "O", "Ag", "Li"],
  "fractional_positions": [[0.000, 0.000, 0.500], [0.000, 0.500, 0.000], [0.500, 0.000, 0.000], [0.000, 0.000, 0.000], [0.500, 0.500, 0.500]]
}

=====

17.
{
  "formula": "LiAgPO2",
  "functional": "PBE",
  "state": "optimized geometry",
  "dft_energy_ev_per_atom": -3.658,
  "e_above_lowest_polymorph_mev_per_atom": 0,
  "e_form_raw_ev_per_atom": 0.360,
  "cell": [[-1.015, -3.363, 1.172], [3.428, -1.253, -0.625], [1.243, 1.178, 4.460]],
  "species": ["P", "O", "O", "Ag", "Li"],
  "fractional_positions": [[0.000, 0.000, 0.500], [0.000, 0.500, 0.000], [0.500, 0.000, 0.000], [0.500, 0.500, 0.500], [0.000, 0.000, 0.000]]
}

=====

18.
{
  "formula": "LiAg4P4O12",
  "functional": "PBE",
  "state": "optimized geometry",
  "dft_energy_ev_per_atom": -6.040,
  "e_above_lowest_polymorph_mev_per_atom": 4,
  "e_form_raw_ev_per_atom": -1.542,
  "cell": [[-1.120, -1.412, 3.874], [5.390, 1.032, 1.880], [-6.741, 12.240, 1.717]],
  "species": ["Li", "Ag", "Ag", "Ag", "Ag", "P", "P", "P", "P", "O", "O", "O", "O", "O", "O", "O", "O", "O", "O", "O", "O"],
  "fractional_positions": [[0.475, 0.308, 0.840], [0.123, 0.287, 0.038], [0.700, 0.214, 0.528], [0.384, 0.737, 0.449], [0.633, 0.617, 0.057], [0.364, 0.827, 0.798], [0.851, 0.853, 0.656], [0.198, 0.120, 0.335], [0.666, 0.186, 0.201], [0.241, 0.040, 0.870], [0.501, 0.620, 0.829], [0.616, 0.959, 0.743], [0.105, 0.718, 0.710], [0.998, 0.069, 0.633], [0.689, 0.662, 0.576], [0.366, 0.307, 0.417], [0.057, 0.905, 0.360], [0.936, 0.264, 0.289], [0.428, 0.024, 0.246], [0.509, 0.409, 0.191], [0.799, 0.019, 0.112]]
}

=====

19.
{
  "formula": "LiAgPO4",
  "functional": "PBE",
  "state": "optimized geometry",
  "dft_energy_ev_per_atom": -5.927,
  "e_form_raw_ev_per_atom": -1.640,
  "cell": [[5.249, 0.000, 0.000], [0.000, 5.249, 0.000], [-2.625, -2.625, 3.458]],
  "species": ["Li", "Ag", "P", "O", "O", "O", "O"],
  "fractional_positions": [[0.500, 0.500, 0.000], [0.000, 0.000, 0.000], [0.250, 0.750, 0.500], [0.223, 0.068, 0.752], [0.316, 0.777, 0.248], [0.530, 0.684, 0.752], [0.932, 0.470, 0.248]]
}

=====

20.
{
  "formula": "LiAgP2O",
  "functional": "PBE",
  "state": "optimized geometry",
  "dft_energy_ev_per_atom": -3.412,
  "e_above_lowest_polymorph_mev_per_atom": 192,
  "e_form_raw_ev_per_atom": 0.697,
  "cell": [[-1.249, -1.252, 4.547], [2.491, -4.169, -0.464], [3.372, 1.855, 1.437]],
  "species": ["P", "P", "O", "Ag", "Li"],
  "fractional_positions": [[0.000, 0.500, 0.000], [0.500, 0.000, 0.000], [0.000, 0.000, 0.500], [0.000, 0.000, 0.000], [0.500, 0.500, 0.500]]
}

=====

21.
{
  "formula": "Li2PaAgO4",
  "functional": "PBE",
  "state": "optimized geometry",
  "dft_energy_ev_per_atom": -6.752,
  "e_form_raw_ev_per_atom": -2.251,
  "cell": [[-1.538, -3.968, -1.651], [1.615, -2.159, 3.683], [-4.305, 3.766, 1.268]],
  "species": ["Li", "Li", "Pa", "Ag", "O", "O", "O", "O"],
  "fractional_positions": [[0.250, 0.750, 0.500], [0.000, 0.000, 0.000], [0.500, 0.500, 0.000], [0.750, 0.250, 0.500], [0.026, 0.526, 0.051], [0.474, 0.974, 0.949], [0.713, 0.713, 0.425], [0.287, 0.287, 0.575]]
}

=====

22.
{
  "formula": "Li3PaAg2O6",
  "functional": "PBE",
  "state": "optimized geometry",
  "dft_energy_ev_per_atom": -5.804,
  "e_form_raw_ev_per_atom": -1.580,
  "cell": [[3.624, 0.000, 0.000], [0.000, 3.624, 0.000], [0.000, 0.000, 11.893]],
  "species": ["Li", "Li", "Li", "Pa", "Ag", "Ag", "O", "O", "O", "O", "O", "O"],
  "fractional_positions": [[0.000, 0.000, 0.316], [0.000, 0.000, 0.684], [0.000, 0.000, 0.000], [0.500, 0.500, 0.500], [0.500, 0.500, 0.164], [0.500, 0.500, 0.836], [0.000, 0.500, 0.611], [0.500, 0.000, 0.389], [0.500, 0.000, 0.611], [0.000, 0.000, 0.153], [0.000, 0.500, 0.389], [0.000, 0.000, 0.847]]
}

=====

23.
{
  "formula": "Li4PaAg3O12",
  "functional": "PBE",
  "state": "optimized geometry",
  "dft_energy_ev_per_atom": -5.134,
  "e_form_raw_ev_per_atom": -0.874,
  "cell": [[6.533, 0.000, 0.000], [-2.178, 6.159, 0.000], [-2.178, -3.080, 5.334]],
  "species": ["Li", "Li", "Li", "Li", "Pa", "Ag", "Ag", "Ag", "O", "O", "O", "O", "O", "O", "O", "O", "O", "O", "O", "O"],
  "fractional_positions": [[0.500, 0.000, 0.000], [0.500, 0.500, 0.500], [0.000, 0.500, 0.000], [0.000, 0.000, 0.500], [0.000, 0.000, 0.000], [0.000, 0.500, 0.500], [0.500, 0.500, 0.000], [0.500, 0.000, 0.500], [0.285, 0.839, 0.124], [0.715, 0.161, 0.876], [0.715, 0.839, 0.554], [0.876, 0.715, 0.161], [0.839, 0.124, 0.285], [0.161, 0.446, 0.285], [0.446, 0.285, 0.161], [0.161, 0.876, 0.715], [0.285, 0.161, 0.446], [0.124, 0.285, 0.839], [0.839, 0.554, 0.715], [0.554, 0.715, 0.839]]
}